# 1
Below is an optimized crystal structure of Ce5Co, with properties calculated at the GGA-PBE level.

Calculated formation energy: 111 meV/atom
Raw total energy: -6.0185 eV per atom
D(E_F): 14.84 states/eV/f.u.
Space-group type: Cmmm (65)
Excess energy over the best structure of this formula in the dataset: 124 meV/atom

Cell: 7.9932 7.9932 4.1732 Å, 90.00 90.00 149.58°
Last column: nearest neighbours and their distance in Å.
Element x y z (fractional)
Ce (0.0000, 0.0000, 0.0000)  4 Co 2.96, 4 Ce 3.23
Ce (0.1721, 0.8279, 0.5000)  6 Ce 2.97-3.19
Ce (0.3412, 0.6588, 0.0000)  6 Ce 2.97-3.23, 2 Co 3.22
Ce (0.6588, 0.3412, 0.0000)  6 Ce 2.97-3.23, 2 Co 3.22
Ce (0.8279, 0.1721, 0.5000)  6 Ce 2.97-3.19
Co (0.5000, 0.5000, 0.5000)  8 Ce 2.96-3.22

---

# 2
Below is an optimized crystal structure of CeCo13, with properties calculated at the GGA-PBE level.

Calculated formation energy: -36 meV/atom
Raw total energy: -7.0581 eV per atom
D(E_F): 19.90 states/eV/f.u.
Space-group type: Fm-3c (226)

Cell: 7.9223 7.9223 7.9223 Å, 60.00 60.00 60.00°
Last column: nearest neighbours and their distance in Å.
Element x y z (fractional)
Ce (0.2500, 0.2500, 0.2500)  24 Co 3.26
Ce (0.7500, 0.7500, 0.7500)  24 Co 3.26
Co (0.0000, 0.0000, 0.0000)  12 Co 2.40
Co (0.0590, 0.2967, 0.7033)  9 Co 2.37-2.49
Co (0.0590, 0.7033, 0.9410)  9 Co 2.37-2.49
Co (0.0590, 0.9410, 0.2967)  9 Co 2.37-2.49
Co (0.2033, 0.4410, 0.7967)  9 Co 2.37-2.49
Co (0.2033, 0.5590, 0.4410)  9 Co 2.37-2.49
Co (0.2033, 0.7967, 0.5590)  9 Co 2.37-2.49
Co (0.2967, 0.0590, 0.9410)  9 Co 2.37-2.49
Co (0.2967, 0.7033, 0.0590)  9 Co 2.37-2.49
Co (0.2967, 0.9410, 0.7033)  9 Co 2.37-2.49
Co (0.4410, 0.2033, 0.5590)  9 Co 2.37-2.49
Co (0.4410, 0.5590, 0.7967)  9 Co 2.37-2.49
Co (0.4410, 0.7967, 0.2033)  9 Co 2.37-2.49
Co (0.5000, 0.5000, 0.5000)  12 Co 2.40
Co (0.5590, 0.2033, 0.7967)  9 Co 2.37-2.49
Co (0.5590, 0.4410, 0.2033)  9 Co 2.37-2.49
Co (0.5590, 0.7967, 0.4410)  9 Co 2.37-2.49
Co (0.7033, 0.0590, 0.2967)  9 Co 2.37-2.49
Co (0.7033, 0.2967, 0.9410)  9 Co 2.37-2.49
Co (0.7033, 0.9410, 0.0590)  9 Co 2.37-2.49
Co (0.7967, 0.2033, 0.4410)  9 Co 2.37-2.49
Co (0.7967, 0.4410, 0.5590)  9 Co 2.37-2.49
Co (0.7967, 0.5590, 0.2033)  9 Co 2.37-2.49
Co (0.9410, 0.0590, 0.7033)  9 Co 2.37-2.49
Co (0.9410, 0.2967, 0.0590)  9 Co 2.37-2.49
Co (0.9410, 0.7033, 0.2967)  9 Co 2.37-2.49

---

# 3
Below is an optimized crystal structure of Ce5Co, with properties calculated at the GGA-PBE level.

Calculated formation energy: -13 meV/atom
Raw total energy: -6.1425 eV per atom
D(E_F): 14.19 states/eV/f.u.
Space-group type: P2_1/m (11)
Excess energy over the best structure of this formula in the dataset: 0 meV/atom

Cell: 3.3066 10.4584 8.4212 Å, 90.00 101.21 90.00°
Last column: nearest neighbours and their distance in Å.
Element x y z (fractional)
Ce (0.0000, 0.0000, 0.0000)  8 Ce 3.08-3.31
Ce (0.0000, 0.5000, 0.0000)  8 Ce 3.08-3.31
Ce (0.1830, 0.0601, 0.3650)  2 Co 2.74, 2 Ce 3.05
Ce (0.1830, 0.4399, 0.3650)  2 Co 2.74, 2 Ce 3.05
Ce (0.3690, 0.2500, 0.7409)  2 Co 2.76, 1 Ce 2.85
Ce (0.4562, 0.7500, 0.9143)  5 Ce 2.85-3.18
Ce (0.5438, 0.2500, 0.0857)  5 Ce 2.85-3.18
Ce (0.6310, 0.7500, 0.2591)  2 Co 2.76, 1 Ce 2.85
Ce (0.8170, 0.5601, 0.6350)  2 Co 2.74, 2 Ce 3.05
Ce (0.8170, 0.9399, 0.6350)  2 Co 2.74, 2 Ce 3.05
Co (0.2628, 0.7500, 0.5260)  6 Ce 2.74-2.76
Co (0.7372, 0.2500, 0.4740)  6 Ce 2.74-2.76

---

# 4
Below is an optimized crystal structure of CeCo3, with properties calculated at the GGA-PBE level.

Calculated formation energy: -182 meV/atom
Raw total energy: -6.9946 eV per atom
D(E_F): 6.01 states/eV/f.u.
Space-group type: P6_3/mmc (194)

Cell: 4.8834 4.8834 16.6411 Å, 90.00 90.00 120.00°
Last column: nearest neighbours and their distance in Å.
Element x y z (fractional)
Ce (0.3333, 0.6667, 0.0416)  12 Co 2.84-3.17, 3 Ce 3.14
Ce (0.3333, 0.6667, 0.2500)  6 Co 2.82
Ce (0.3333, 0.6667, 0.4584)  12 Co 2.84-3.17, 3 Ce 3.14
Ce (0.6667, 0.3333, 0.5416)  12 Co 2.84-3.17, 3 Ce 3.14
Ce (0.6667, 0.3333, 0.7500)  6 Co 2.82
Ce (0.6667, 0.3333, 0.9584)  12 Co 2.84-3.17, 3 Ce 3.14
Co (0.0000, 0.0000, 0.0000)  6 Co 2.57
Co (0.0000, 0.0000, 0.2500)  6 Co 2.46
Co (0.0000, 0.0000, 0.5000)  6 Co 2.57
Co (0.0000, 0.0000, 0.7500)  6 Co 2.46
Co (0.1663, 0.3325, 0.6289)  7 Co 2.44-2.57
Co (0.1663, 0.3325, 0.8711)  7 Co 2.44-2.57
Co (0.1663, 0.8337, 0.6289)  7 Co 2.44-2.57
Co (0.1663, 0.8337, 0.8711)  7 Co 2.44-2.57
Co (0.3325, 0.1663, 0.1289)  7 Co 2.44-2.57
Co (0.3325, 0.1663, 0.3711)  7 Co 2.44-2.57
Co (0.3333, 0.6667, 0.7500)  6 Co 2.46
Co (0.6667, 0.3333, 0.2500)  6 Co 2.46
Co (0.6675, 0.8337, 0.6289)  7 Co 2.44-2.57
Co (0.6675, 0.8337, 0.8711)  7 Co 2.44-2.57
Co (0.8337, 0.1663, 0.1289)  7 Co 2.44-2.57
Co (0.8337, 0.1663, 0.3711)  7 Co 2.44-2.57
Co (0.8337, 0.6675, 0.1289)  7 Co 2.44-2.57
Co (0.8337, 0.6675, 0.3711)  7 Co 2.44-2.57

---

# 5
Below is an optimized crystal structure of CeCrCo2H8, with properties calculated at the GGA-PBE level.

Raw total energy: -4.8604 eV per atom
D(E_F): 6.66 states/eV/f.u.
Space-group type: R-3 (148)

Cell: 5.9386 5.9386 5.9386 Å, 44.70 44.70 44.70°
Last column: nearest neighbours and their distance in Å.
Element x y z (fractional)
Ce (0.0000, 0.0000, 0.0000)  6 H 2.31
Cr (0.5000, 0.5000, 0.5000)  6 H 1.79
Co (0.2006, 0.2006, 0.2006)  4 H 1.63-1.64
Co (0.7994, 0.7994, 0.7994)  4 H 1.63-1.64
H (0.1195, 0.8339, 0.4059)  2 Co 1.64-1.83, 1 Cr 1.79
H (0.1661, 0.5941, 0.8805)  2 Co 1.64-1.83, 1 Cr 1.79
H (0.3023, 0.3023, 0.3023)  1 Co 1.63
H (0.4059, 0.1195, 0.8339)  2 Co 1.64-1.83, 1 Cr 1.79
H (0.5941, 0.8805, 0.1661)  2 Co 1.64-1.83, 1 Cr 1.79
H (0.6977, 0.6977, 0.6977)  1 Co 1.63
H (0.8339, 0.4059, 0.1195)  2 Co 1.64-1.83, 1 Cr 1.79
H (0.8805, 0.1661, 0.5941)  2 Co 1.64-1.83, 1 Cr 1.79

---

- Look up the D(E_F) of the fourth one.
  6.01 states/eV/f.u.